[1]
VASP calculation (PBE-GGA) on a relaxed structure of Sm2Dy3ThS6.

Cell and atoms, written as POSCAR:
```
Sm2Dy3ThS6
1.0
8.664 -1.975 0.000
8.664 1.975 0.000
-1.938 0.000 7.721
Sm Dy Th S
2 3 1 6
Cartesian
2.218 0.000 2.548
13.172 0.000 5.172
1.256 0.000 6.441
7.695 0.000 3.860
14.134 0.000 1.279
8.664 0.000 0.000
-1.391 0.000 5.721
3.921 0.000 7.116
4.999 0.000 3.173
10.391 0.000 4.547
11.469 0.000 0.604
16.780 0.000 2.000
```

Calculated values
- Formation energy (no corrections): -1.97 eV per atom
- Energy: -79.1 eV per formula unit
- Crystal system: monoclinic
- Total magnetic moment: 0.00 μB/f.u.



[2]
VASP calculation (PBE-GGA) on a relaxed structure of Sm4DyTh3S8.

Cell and atoms, written as POSCAR:
```
Sm4DyTh3S8
1.0
3.994 2.306 6.594
-3.994 2.306 6.594
0.000 -4.612 6.594
Sm Dy Th S
4 1 3 8
Cartesian
0.000 0.000 0.000
-1.997 -1.153 6.594
-1.997 1.153 13.188
0.000 2.306 6.594
0.000 0.000 9.891
-3.994 0.000 9.891
-1.997 1.153 3.297
1.997 1.153 3.297
0.000 0.000 4.983
0.000 -2.262 8.243
-1.959 1.131 8.243
-1.959 -1.131 11.538
1.959 1.131 8.243
1.959 -1.131 11.538
0.000 2.262 11.538
0.000 0.000 14.798
```

Calculated values
- Formation energy (no corrections): -1.94 eV per atom
- Energy: -109.8 eV per formula unit
- Crystal system: trigonal
- Total magnetic moment: 0.00 μB/f.u.



[3]
VASP calculation (PBE-GGA) on a relaxed structure of Sm3Dy2ThS6.

Cell and atoms, written as POSCAR:
```
Sm3Dy2ThS6
1.0
8.664 -1.988 0.000
8.664 1.988 0.000
-1.806 0.000 7.778
Sm Dy Th S
3 2 1 6
Cartesian
0.000 0.000 0.000
4.627 0.000 5.182
10.894 0.000 2.596
5.488 0.000 1.316
10.034 0.000 6.463
-0.903 0.000 3.889
1.867 0.000 4.603
2.801 0.000 0.605
8.164 0.000 1.900
7.358 0.000 5.879
12.721 0.000 7.173
13.654 0.000 3.175
```

Calculated values
- Formation energy (no corrections): -1.97 eV per atom
- Energy: -79.2 eV per formula unit
- Crystal system: monoclinic
- Total magnetic moment: 0.00 μB/f.u.



[4]
VASP calculation (PBE-GGA) on a relaxed structure of Sm2DyThS4.

Cell and atoms, written as POSCAR:
```
Sm2DyThS4
1.0
6.911 0.000 0.000
0.000 3.970 0.000
-2.289 0.000 6.562
Sm Dy Th S
2 1 1 4
Cartesian
0.000 0.000 0.000
-1.144 1.985 3.281
2.311 0.000 3.281
3.456 1.985 0.000
0.028 0.000 4.879
1.176 1.985 1.693
3.447 1.985 4.869
4.594 0.000 1.683
```

Calculated values
- Formation energy (no corrections): -1.96 eV per atom
- Energy: -53.6 eV per formula unit
- Crystal system: monoclinic
- Total magnetic moment: 0.00 μB/f.u.



[5]
VASP calculation (PBE-GGA) on a relaxed structure of Sm4Dy3ThS8.

Cell and atoms, written as POSCAR:
```
Sm4Dy3ThS8
1.0
3.978 2.297 6.491
-3.978 2.297 6.491
0.000 -4.593 6.491
Sm Dy Th S
4 3 1 8
Cartesian
0.000 0.000 0.000
-1.989 -1.148 6.491
-1.989 1.148 12.983
0.000 2.297 6.491
-3.978 0.000 9.737
-1.989 1.148 3.246
1.989 1.148 3.246
0.000 0.000 9.737
-2.024 -1.169 11.321
0.000 0.000 4.801
0.000 -2.337 8.153
-2.024 1.169 8.153
2.024 -1.169 11.321
0.000 2.337 11.321
0.000 0.000 14.673
2.024 1.169 8.153
```

Calculated values
- Formation energy (no corrections): -1.98 eV per atom
- Energy: -104.8 eV per formula unit
- Crystal system: trigonal
- Total magnetic moment: 0.00 μB/f.u.



[6]
VASP calculation (PBE-GGA) on a relaxed structure of Sm2DyTl3S6.

Cell and atoms, written as POSCAR:
```
Sm2DyTl3S6
1.0
3.547 -6.142 0.000
3.547 6.142 0.000
-2.364 0.000 7.511
Sm Dy Tl S
2 1 3 6
Cartesian
3.547 4.095 0.000
3.547 -4.095 0.000
3.547 0.000 0.000
-1.182 0.000 3.755
2.364 2.055 3.755
2.364 -2.055 3.755
0.020 2.012 6.008
1.222 0.000 1.512
0.020 -2.012 6.008
4.709 2.012 1.503
3.507 0.000 5.998
4.709 -2.012 1.503
```

Calculated values
- Formation energy (no corrections): -1.47 eV per atom
- Energy: -63.6 eV per formula unit
- Crystal system: monoclinic
- Total magnetic moment: 0.00 μB/f.u.



formation energy (no corrections) of number 3 (Sm3Dy2ThS6)?
-1.97 eV per atom



Copy entry 3 word for word.
VASP calculation (PBE-GGA) on a relaxed structure of Sm3Dy2ThS6.

Cell and atoms, written as POSCAR:
```
Sm3Dy2ThS6
1.0
8.664 -1.988 0.000
8.664 1.988 0.000
-1.806 0.000 7.778
Sm Dy Th S
3 2 1 6
Cartesian
0.000 0.000 0.000
4.627 0.000 5.182
10.894 0.000 2.596
5.488 0.000 1.316
10.034 0.000 6.463
-0.903 0.000 3.889
1.867 0.000 4.603
2.801 0.000 0.605
8.164 0.000 1.900
7.358 0.000 5.879
12.721 0.000 7.173
13.654 0.000 3.175
```

Calculated values
- Formation energy (no corrections): -1.97 eV per atom
- Energy: -79.2 eV per formula unit
- Crystal system: monoclinic
- Total magnetic moment: 0.00 μB/f.u.



Which of these has the lowest energy?
Sm4DyTh3S8